Entry from Alexandria via LeMat-Bulk: a relaxed structure of Ta3Tc4 (PBE).

```
Ta3Tc4
1.0
-1.587 1.587 11.173
1.587 -1.587 11.173
1.587 1.587 -11.173
Tc Ta
4 3
Cartesian
0.000 0.000 3.182
0.000 0.000 19.165
0.000 0.000 12.721
0.000 0.000 9.626
0.000 0.000 15.891
0.000 0.000 0.000
0.000 0.000 6.455
```

## Properties
energy relative to the lowest polymorph listed for this composition: 0.00 eV/f.u.
volume: 112.58 Å³ per cell
symmetry: I4/mmm
energy of formation: -0.179 eV/atom
DOS at the Fermi energy: 5.7 states/eV per cell

---

Entry from Alexandria via LeMat-Bulk: a relaxed structure of CsKP2O (PBE).

```
CsKP2O
1.0
-0.777 5.644 2.773
-2.739 -2.819 4.970
4.417 -0.460 2.173
Cs P O K
1 2 1 1
Cartesian
0.451 1.183 4.958
-1.369 -1.409 2.485
-0.389 2.822 1.386
2.209 -0.230 1.087
0.000 0.000 0.000
```

## Properties
energy relative to the lowest polymorph listed for this composition: 0.00 eV/f.u.
volume: 198.53 Å³ per cell
symmetry: P4/mmm
DOS at the Fermi energy: 4.4 states/eV per cell
raw formation energy: 3.94 eV/f.u.

---

Entry from Alexandria via LeMat-Bulk: a relaxed structure of SbSeBr2F (PBE).

```
SbSeBr2F
1.0
5.449 0.000 0.000
0.000 5.449 0.000
0.000 0.000 5.546
Sb Se Br F
1 1 2 1
Cartesian
0.000 0.000 0.000
0.000 0.000 2.773
0.000 2.724 0.000
2.724 0.000 0.000
2.724 2.724 2.773
```

## Properties
energy relative to the lowest polymorph listed for this composition: 0.00 eV/f.u.
volume: 164.65 Å³ per cell
symmetry: P4/mmm
DOS at the Fermi energy: 7.7 states/eV per cell
raw formation energy: -0.01 eV/f.u.

---

Entry from Alexandria via LeMat-Bulk: a relaxed structure of La2BeSbAs (PBE).

```
La2BeSbAs
1.0
5.665 0.000 0.000
0.000 4.058 0.000
0.000 0.000 5.665
As La Sb Be
1 2 1 1
Cartesian
0.000 2.029 0.000
0.000 0.000 2.833
2.833 0.000 0.000
2.833 2.029 2.833
0.000 0.000 0.000
```

## Properties
volume: 130.24 Å³ per cell
symmetry: P4/mmm
DOS at the Fermi energy: 7.4 states/eV per cell
raw formation energy: -2.80 eV/f.u.

---

Entry from Alexandria via LeMat-Bulk: a relaxed structure of HfZn3Co8 (PBE).

```
HfZn3Co8
1.0
-0.156 -3.840 -2.789
3.132 0.221 3.562
-5.176 -3.242 4.753
Co Zn Hf
8 3 1
Cartesian
-2.425 -4.270 3.932
-3.943 -4.377 2.206
1.315 -1.242 3.707
-2.501 -6.131 2.580
-3.120 -4.362 6.179
1.235 -3.210 2.278
-0.544 -2.748 3.814
-0.290 -1.355 1.882
0.618 -2.687 -0.377
-4.891 -3.064 4.492
-1.270 -3.870 1.357
-2.949 -1.847 2.708
```

## Properties
volume: 151.10 Å³ per cell
symmetry: P3m1
energy of formation: -0.073 eV/atom
DOS at the Fermi energy: 13.4 states/eV per cell

---

Entry from Alexandria via LeMat-Bulk: a relaxed structure of Fe2RuRh8 (PBE).

```
Fe2RuRh8
1.0
-2.290 -2.885 1.565
-2.195 -1.416 -5.826
5.146 -3.720 0.669
Rh Fe Ru
8 2 1
Cartesian
-0.159 -3.159 -0.941
1.133 -7.453 -1.856
-0.472 -0.567 -1.737
1.474 -1.178 -0.015
0.820 -4.862 -2.652
-0.813 -6.842 -3.578
-1.450 -3.451 -3.371
2.111 -4.569 -0.221
2.322 -2.834 -1.829
0.629 -2.302 -3.328
-1.145 -1.442 0.782
```

## Properties
volume: 158.21 Å³ per cell
symmetry: Cmmm
energy of formation: 0.192 eV/atom
DOS at the Fermi energy: 13.6 states/eV per cell

---

Entry from Alexandria via LeMat-Bulk: a relaxed structure of LaHf2Ge2 (PBE).

```
LaHf2Ge2
1.0
7.759 0.000 0.000
0.000 7.759 0.000
0.000 0.000 3.567
Ge Hf La
4 4 2
Cartesian
0.976 2.903 0.000
2.903 6.783 0.000
6.783 4.856 0.000
4.856 0.976 0.000
1.279 5.159 1.784
6.480 2.600 1.784
2.600 1.279 1.784
5.159 6.480 1.784
3.880 3.880 0.000
0.000 0.000 0.000
```

## Properties
energy relative to the lowest polymorph listed for this composition: 0.72 eV/f.u.
volume: 214.76 Å³ per cell
symmetry: P4/mbm
energy of formation: -0.491 eV/atom
DOS at the Fermi energy: 5.7 states/eV per cell

---

Entry from Alexandria via LeMat-Bulk: a relaxed structure of MgBeCr (PBE).

```
MgBeCr
1.0
2.933 0.000 0.003
0.000 2.933 0.000
-0.009 0.000 9.391
Cr Be Mg
2 2 2
Cartesian
0.728 2.200 5.318
2.196 0.733 4.076
2.194 0.733 6.462
0.731 2.200 2.932
2.200 0.733 1.200
0.725 2.200 8.194
```

## Properties
energy relative to the lowest polymorph listed for this composition: 0.00 eV/f.u.
volume: 80.79 Å³ per cell
symmetry: P4/nmm
energy of formation: 0.105 eV/atom
DOS at the Fermi energy: 2.6 states/eV per cell

---

Entry from Alexandria via LeMat-Bulk: a relaxed structure of Mn2CrPt (PBE).

```
Mn2CrPt
1.0
-1.630 -1.986 -3.651
1.677 -3.383 2.383
-2.551 -0.334 1.321
Mn Pt Cr
2 1 1
Cartesian
0.023 -2.685 -0.634
0.000 0.000 0.000
-2.091 -1.160 -1.165
-0.437 -1.859 1.852
```

## Properties
volume: 56.02 Å³ per cell
symmetry: Cmmm
energy of formation: -0.103 eV/atom
DOS at the Fermi energy: 3.3 states/eV per cell

---

Entry from Alexandria via LeMat-Bulk: a relaxed structure of Hf4NbRu5 (PBE).

```
Hf4NbRu5
1.0
3.231 0.000 0.000
0.000 3.231 0.000
0.000 0.000 16.122
Ru Hf Nb
5 4 1
Cartesian
1.616 1.616 14.550
1.616 1.616 4.813
1.616 1.616 1.572
1.616 1.616 11.309
1.616 1.616 8.061
0.000 0.000 6.436
0.000 0.000 9.687
0.000 0.000 12.931
0.000 0.000 3.191
0.000 0.000 0.000
```

## Properties
volume: 168.34 Å³ per cell
symmetry: P4/mmm
energy of formation: -0.687 eV/atom
DOS at the Fermi energy: 5.0 states/eV per cell

---

Entry from Alexandria via LeMat-Bulk: a relaxed structure of BaO6 (PBE).

```
BaO6
1.0
3.133 4.800 -0.043
-3.133 4.800 -0.043
0.000 0.306 8.073
O Ba
12 2
Cartesian
-0.362 1.796 7.785
0.393 5.377 4.333
0.362 8.110 0.203
0.362 1.643 3.748
-0.893 7.795 5.319
-0.393 5.225 0.296
0.393 4.681 7.691
-0.893 2.264 6.705
0.893 2.111 2.669
0.893 7.643 1.282
-0.362 8.263 4.239
-0.393 4.529 3.654
1.727 4.877 1.975
-1.727 5.029 6.012
```

## Properties
energy relative to the lowest polymorph listed for this composition: 0.00 eV/f.u.
volume: 242.89 Å³ per cell
symmetry: C2/c
DOS at the Fermi energy: 1.5 states/eV per cell
raw formation energy: -5.23 eV/f.u.

---

Entry from Alexandria via LeMat-Bulk: a relaxed structure of TlSiPbSe4 (PBE).

```
TlSiPbSe4
1.0
7.066 -0.152 0.000
-2.977 6.410 0.000
0.000 0.000 9.779
Si Se Tl Pb
2 8 2 2
Cartesian
-1.624 5.525 2.445
5.712 0.733 7.334
4.664 1.418 5.461
2.940 4.829 7.334
3.241 4.633 2.445
0.847 1.625 7.334
1.148 1.429 2.445
-0.575 4.840 0.571
4.664 1.418 9.207
-0.575 4.840 4.318
2.044 3.129 4.889
2.044 3.129 0.000
5.355 0.966 2.445
-1.267 5.292 7.334
```

## Properties
volume: 438.45 Å³ per cell
symmetry: Cmcm
DOS at the Fermi energy: 8.1 states/eV per cell
raw formation energy: -2.40 eV/f.u.